DFT (GGA-PBE) results for a geometry-optimized CsSc2Ru structure.

abc: 10.454 10.454 10.454
angles: 21.74 21.74 21.74
Fractional coordinates of all 4 atoms:
Sc (0.874, 0.874, 0.874)
Sc (0.126, 0.126, 0.126)
Ru (0.500, 0.500, 0.500)
Cs (0.000, 0.000, 0.000)

Properties
The calculation puts the distance to the lowest polymorph of the same formula at 0 meV per atom. For the size of the total moment, the calculation gives 0.000 μB/f.u. The calculated total energy is -22.15 eV/cell. Its density of states at the Fermi level is 5.1 states/eV per cell. The space group is R-3m (166).

DFT (GGA-PBE) results for a geometry-optimized PHPd2 structure.

abc: 3.882 3.882 5.552
angles: 69.54 69.54 60.00
Fractional coordinates of all 4 atoms:
H (0.000, 0.000, 0.000)
Pd (0.888, 0.888, 0.337)
Pd (0.112, 0.112, 0.663)
P (0.500, 0.500, 0.500)

Properties
The calculation puts the distance to the lowest polymorph of the same formula at 76 meV per atom. For the size of the total moment, the calculation gives 0.000 μB/f.u. The calculated total energy is -19.45 eV/cell. Its density of states at the Fermi level is 1.8 states/eV per cell. The space group is R-3m (166).

DFT (GGA-PBE) results for a geometry-optimized Pa2GeO structure.

abc: 3.703 3.703 8.341
angles: 77.18 77.18 60.00
Fractional coordinates of all 4 atoms:
Pa (0.086, 0.086, 0.742)
Pa (0.914, 0.914, 0.258)
O (0.000, 0.000, 0.000)
Ge (0.500, 0.500, 0.500)

Properties
The calculation puts the distance to the lowest polymorph of the same formula at 0 meV per atom. For the size of the total moment, the calculation gives 0.001 μB/f.u. The calculated total energy is -32.93 eV/cell. Its density of states at the Fermi level is 6.6 states/eV per cell. The space group is R-3m (166).

DFT (GGA-PBE) results for a geometry-optimized YTcW structure.

abc: 7.399 7.181 2.941
angles: 82.56 74.23 23.21
Fractional coordinates of all 3 atoms:
Tc (0.988, 0.988, 0.012)
W (0.349, 0.349, 0.651)
Y (0.662, 0.662, 0.338)

Properties
The calculation puts the distance to the lowest polymorph of the same formula at 455 meV per atom. For the size of the total moment, the calculation gives 0.000 μB/f.u. The calculated total energy is -28.56 eV/cell. Its density of states at the Fermi level is 3.2 states/eV per cell. The space group is Fmm2 (42).

DFT (GGA-PBE) results for a geometry-optimized FeOsSe2 structure.

abc: 6.200 6.200 6.200
angles: 151.33 143.33 47.20
Last column: magnetic moment on the atom in μB.
Fractional coordinates of all 4 atoms:
Os (0.768, 0.268, 0.500)  -0.03
Fe (0.565, 0.565, 0.000)  2.76
Se (0.212, 0.712, 0.500)  0.01
Se (0.954, 0.954, 0.000)  -0.01

Properties
The calculation puts the distance to the lowest polymorph of the same formula at 474 meV per atom. For the size of the total moment, the calculation gives 2.760 μB/f.u. The calculated total energy is -24.83 eV/cell. Its density of states at the Fermi level is 4.5 states/eV per cell. The space group is Imm2 (44).

DFT (GGA-PBE) results for a geometry-optimized LiPaGeN structure.

abc: 3.870 3.870 9.397
angles: 90.00 90.00 90.00
Fractional coordinates of all 8 atoms:
N (0.000, 0.000, 0.000)
N (0.500, 0.500, 0.000)
Li (0.500, 0.500, 0.500)
Li (0.000, 0.000, 0.500)
Ge (0.000, 0.500, 0.305)
Ge (0.500, 0.000, 0.695)
Pa (0.500, 0.000, 0.127)
Pa (0.000, 0.500, 0.873)

Properties
For the size of the total moment, the calculation gives 0.000 μB/f.u. The calculated total energy is -56.22 eV/cell. Its density of states at the Fermi level is 5.1 states/eV per cell. The space group is P4/nmm (129).